A plane-wave DFT calculation with PBE was carried out for crystalline LaNdHoZr at its relaxed geometry.

Calculated values
SG   F-43m
Calculated volume   122 Å³/cell
Total DFT energy (no corrections)   -22.01 eV/cell
ΔE_f   0.2023 eV/atom

Cell lengths 5.564, 5.564, 5.564 Å; angles 60.00, 60.00, 60.00 degrees
Fractional positions:
Nd  0.000  0.000  0.000
Ho  0.750  0.750  0.750
Zr  0.250  0.250  0.250
La  0.500  0.500  0.500